The following is a GGA+U calculation of an optimized crystal structure of KNiHF6, from Alexandria via LeMat-Bulk.

Computed properties:
- Crystal system: triclinic
- Final energy: -0.139 hartree per atom

Structure (CIF):
```
data_KNiHF6
_chemical_formula_sum 'K1 Ni1 H1 F6'
_cell_length_a 5.065
_cell_length_b 5.121
_cell_length_c 5.372
_cell_angle_alpha 80.80
_cell_angle_beta 84.74
_cell_angle_gamma 63.38
_symmetry_space_group_name_H-M 'P 1'
_symmetry_Int_Tables_number 1
loop_
_symmetry_equiv_pos_as_xyz
'x,y,z'
loop_
_atom_site_label
_atom_site_fract_x
_atom_site_fract_y
_atom_site_fract_z
K1 0.000 0.000 0.000
Ni1 0.532 0.642 0.534
H1 0.522 0.150 0.529
F1 0.144 0.854 0.487
F2 0.457 0.483 0.838
F3 0.527 0.339 0.390
F4 0.532 0.947 0.675
F5 0.601 0.801 0.228
F6 0.916 0.431 0.587
```

The following is a GGA+U calculation of an optimized crystal structure of K2NiH2F6, from Alexandria via LeMat-Bulk.

Computed properties:
- Crystal system: trigonal
- Final energy: -0.152 hartree per atom

Structure (CIF):
```
data_K2NiH2F6
_chemical_formula_sum 'K2 Ni1 H2 F6'
_cell_length_a 5.2754
_cell_length_b 5.2754
_cell_length_c 5.6246
_cell_angle_alpha 90.00
_cell_angle_beta 90.00
_cell_angle_gamma 120.00
_symmetry_space_group_name_H-M 'P -3 m 1'
_symmetry_Int_Tables_number 164
_symmetry_space_group_name_Hall '-P 3 2"'
loop_
_atom_site_label
_atom_site_fract_x
_atom_site_fract_y
_atom_site_fract_z
K1 0.3333 0.6667 0.3162
Ni1 0.0000 0.0000 0.0000
H1 0.3333 0.6667 0.8062
F1 0.1832 0.3664 0.7906
```

What did the second record say?
The following is a GGA+U calculation of an optimized crystal structure of K2NiH2F6, from Alexandria via LeMat-Bulk.

Computed properties:
- Crystal system: trigonal
- Final energy: -0.152 hartree per atom

Structure (CIF):
```
data_K2NiH2F6
_chemical_formula_sum 'K2 Ni1 H2 F6'
_cell_length_a 5.2754
_cell_length_b 5.2754
_cell_length_c 5.6246
_cell_angle_alpha 90.00
_cell_angle_beta 90.00
_cell_angle_gamma 120.00
_symmetry_space_group_name_H-M 'P -3 m 1'
_symmetry_Int_Tables_number 164
_symmetry_space_group_name_Hall '-P 3 2"'
loop_
_atom_site_label
_atom_site_fract_x
_atom_site_fract_y
_atom_site_fract_z
K1 0.3333 0.6667 0.3162
Ni1 0.0000 0.0000 0.0000
H1 0.3333 0.6667 0.8062
F1 0.1832 0.3664 0.7906
```

The lowest final energy belongs to which entry? K2NiH2F6

Which formula does entry 1 have? KNiHF6

Number 1 is which compound? KNiHF6